{
  "formula": "Rb2SiBr2F4",
  "functional": "GGA-PBE",
  "state": "relaxed",
  "volume_a3_per_atom": 26.83,
  "raw_formation_energy_ev_per_atom": -2.4639,
  "space_group": "C2/m (12)",
  "dft_energy_ev_per_cell": -40.36,
  "dos_ef_per_ev_cell": 0.00,
  "cell": [[6.755, -0.187, -0.127], [1.012, 6.293, 0.269], [1.012, 2.561, 5.754]],
  "species": ["Si", "Br", "Br", "F", "F", "F", "F", "Rb", "Rb"],
  "frac_coords": [[0.500, 0.000, 0.000], [0.814, 0.849, 0.849], [0.186, 0.151, 0.151], [0.406, 0.734, 0.097], [0.594, 0.903, 0.266], [0.406, 0.097, 0.734], [0.594, 0.266, 0.903], [0.307, 0.689, 0.689], [0.693, 0.311, 0.311]]
}